Entry 1:
Density functional theory data (PBE-GGA) for a geometry-optimized LiPaAu structure.

Unit cell a=3.125 b=4.703 c=4.703 alpha=120.00 beta=90.00 gamma=90.00
Atoms (fractional coordinates):
1 Pa 0.000 0.000 0.000
2 Au 0.500 0.333 0.667
3 Li 0.500 0.667 0.333

Properties
Symmetry: P-6m2 (187)
Crystal system: hexagonal
Distance to the lowest polymorph of the same formula, meV/atom: 0
E_form, eV per atom: -0.143
Total magnetic moment, μB per formula unit: 0.00

***

Entry 2:
Density functional theory data (PBE-GGA) for a geometry-optimized Li5PaAu6 structure.

Unit cell a=4.576 b=7.984 c=7.984 alpha=119.18 beta=106.62 gamma=106.62
Atoms (fractional coordinates):
1 Li 0.500 0.831 0.169
2 Au 0.223 0.723 0.723
3 Li 0.500 0.169 0.831
4 Au 0.255 0.081 0.428
5 Pa 0.000 0.000 0.000
6 Li 0.500 0.500 0.500
7 Au 0.745 0.572 0.919
8 Li 0.000 0.668 0.332
9 Au 0.777 0.277 0.277
10 Li 0.000 0.332 0.668
11 Au 0.745 0.919 0.572
12 Au 0.255 0.428 0.081

Properties
Symmetry: C2/m (12)
Crystal system: monoclinic
E_form, eV per atom: -0.455
Total magnetic moment, μB per formula unit: 0.00

***

What is the E_form in the second record? -0.455 eV per atom

***

The highest E_form belongs to which entry? LiPaAu

***

The lowest E_form belongs to which entry? Li5PaAu6